Entry 1:
Ba2NaEu: relaxed, PBE.

Unit cell a=4.7235 b=4.7235 c=9.4742 alpha=90.00 beta=90.00 gamma=90.00
Last column: nearest neighbours and their distance in Å.
Fractional coordinates of all 4 atoms:
Ba: 0.0000 0.0000 0.2417  4 Na 4.05, 4 Eu 4.14
Ba: 0.0000 0.0000 0.7583  4 Na 4.05, 4 Eu 4.14
Na: 0.5000 0.5000 0.0000  8 Ba 4.05
Eu: 0.5000 0.5000 0.5000  8 Ba 4.14

Computed properties:
* D(E_F): 4.338 states/eV/f.u.
* distance to the lowest polymorph of the same formula: 0 meV per atom
* E: -15.3 eV for the cell shown
* E_form: 36 meV/atom

Entry 2:
BaNaEu2: relaxed, PBE.

Unit cell a=4.0508 b=4.0508 c=13.5709 alpha=81.42 beta=81.42 gamma=60.00
Last column: nearest neighbours and their distance in Å.
Fractional coordinates of all 4 atoms:
Na: 0.0000 0.0000 0.0000  6 Eu 3.95, 6 Na 4.05
Eu: 0.7462 0.7462 0.7615  3 Na 3.95, 6 Eu 4.05, 3 Ba 4.21
Eu: 0.2538 0.2538 0.2385  3 Na 3.95, 6 Eu 4.05, 3 Ba 4.21
Ba: 0.5000 0.5000 0.5000  6 Ba 4.05, 6 Eu 4.21

Computed properties:
* D(E_F): 18.554 states/eV/f.u.
* distance to the lowest polymorph of the same formula: 8 meV per atom
* E: -23.4 eV for the cell shown
* E_form: 94 meV/atom

Entry 3:
BaNaEu4: relaxed, PBE.

Unit cell a=7.5033 b=7.5033 c=7.5033 alpha=60.00 beta=60.00 gamma=60.00
Last column: nearest neighbours and their distance in Å.
Fractional coordinates of all 6 atoms:
Eu: 0.6253 0.1241 0.6253  6 Eu 3.74-3.76
Eu: 0.1241 0.6253 0.6253  6 Eu 3.74-3.76
Eu: 0.6253 0.6253 0.1241  6 Eu 3.74-3.76
Eu: 0.6253 0.6253 0.6253  6 Eu 3.74-3.76
Na: 0.0000 0.0000 0.0000  12 Eu 4.40, 4 Ba 4.59
Ba: 0.2500 0.2500 0.2500  12 Eu 4.40, 4 Na 4.59

Computed properties:
* D(E_F): 4.939 states/eV/f.u.
* E: -43.4 eV for the cell shown
* E_form: 159 meV/atom

Entry 4:
BaNaEu2: relaxed, PBE.

Unit cell a=6.2125 b=5.5466 c=5.5466 alpha=90.00 beta=90.00 gamma=90.00
Last column: nearest neighbours and their distance in Å.
Fractional coordinates of all 4 atoms:
Ba: 0.5000 0.5000 0.5000  4 Na 3.92, 8 Eu 4.16
Eu: 0.0000 0.5000 0.0000  4 Eu 3.92, 4 Na 4.16, 4 Ba 4.16
Eu: 0.0000 0.0000 0.5000  4 Eu 3.92, 4 Ba 4.16, 4 Na 4.16
Na: 0.5000 0.0000 0.0000  4 Ba 3.92, 8 Eu 4.16

Computed properties:
* D(E_F): 20.619 states/eV/f.u.
* distance to the lowest polymorph of the same formula: 5 meV per atom
* E: -23.4 eV for the cell shown
* E_form: 91 meV/atom

Entry 5:
Ba2NaEu: relaxed, PBE.

Unit cell a=6.7150 b=6.7150 c=6.7150 alpha=60.00 beta=60.00 gamma=60.00
Last column: nearest neighbours and their distance in Å.
Fractional coordinates of all 4 atoms:
Ba: 0.2500 0.2500 0.2500  4 Na 4.11, 4 Eu 4.11
Ba: 0.7500 0.7500 0.7500  4 Na 4.11, 4 Eu 4.11
Eu: 0.0000 0.0000 0.0000  8 Ba 4.11
Na: 0.5000 0.5000 0.5000  8 Ba 4.11

Computed properties:
* D(E_F): 5.311 states/eV/f.u.
* distance to the lowest polymorph of the same formula: 51 meV per atom
* E: -15.1 eV for the cell shown
* E_form: 87 meV/atom

Entry 6:
Ba2NaEu: relaxed, PBE.

Unit cell a=4.1805 b=4.1805 c=14.7077 alpha=81.83 beta=81.83 gamma=60.00
Last column: nearest neighbours and their distance in Å.
Fractional coordinates of all 4 atoms:
Na: 0.0000 0.0000 0.0000  2 Ba 3.85, 6 Na 4.18
Ba: 0.0884 0.0884 0.7348  1 Na 3.85, 3 Eu 4.18, 6 Ba 4.18
Ba: 0.9116 0.9116 0.2652  1 Na 3.85, 3 Eu 4.18, 6 Ba 4.18
Eu: 0.5000 0.5000 0.5000  6 Ba 4.18, 6 Eu 4.18

Computed properties:
* D(E_F): 4.606 states/eV/f.u.
* distance to the lowest polymorph of the same formula: 101 meV per atom
* E: -14.9 eV for the cell shown
* E_form: 137 meV/atom

Entry 7:
BaNaEu2: relaxed, PBE.

Unit cell a=4.2183 b=4.2183 c=10.7013 alpha=90.00 beta=90.00 gamma=90.00
Last column: nearest neighbours and their distance in Å.
Fractional coordinates of all 4 atoms:
Eu: 0.0000 0.0000 0.2154  4 Na 3.77, 4 Eu 4.22
Eu: 0.0000 0.0000 0.7846  4 Na 3.77, 4 Eu 4.22
Ba: 0.5000 0.5000 0.5000  4 Ba 4.22, 8 Eu 4.26
Na: 0.5000 0.5000 0.0000  8 Eu 3.77, 4 Na 4.22

Computed properties:
* D(E_F): 24.272 states/eV/f.u.
* distance to the lowest polymorph of the same formula: 0 meV per atom
* E: -23.4 eV for the cell shown
* E_form: 86 meV/atom

Entry 8:
BaNaEu2: relaxed, PBE.

Unit cell a=6.4133 b=6.4133 c=6.4133 alpha=60.00 beta=60.00 gamma=60.00
Last column: nearest neighbours and their distance in Å.
Fractional coordinates of all 4 atoms:
Eu: 0.7500 0.7500 0.7500  4 Na 3.93, 4 Ba 3.93
Eu: 0.2500 0.2500 0.2500  4 Ba 3.93, 4 Na 3.93
Ba: 0.5000 0.5000 0.5000  8 Eu 3.93
Na: 0.0000 0.0000 0.0000  8 Eu 3.93

Computed properties:
* D(E_F): 20.047 states/eV/f.u.
* distance to the lowest polymorph of the same formula: 45 meV per atom
* E: -23.3 eV for the cell shown
* E_form: 131 meV/atom